{"formula": "TiMo2C", "functional": "PBE-GGA", "state": "optimized geometry", "ef_ev_per_atom": 0.02, "energy_ev_per_atom": -9.673, "n_ef_per_ev_atom": 0.571, "cell": [[-1.5749, -0.4182, -6.9615], [1.0407, -7.0709, 0.1893], [-2.4002, -4.0451, -2.8855]], "species": ["Mo", "Mo", "Mo", "Mo", "C", "C", "Ti", "Ti"], "fractional_positions": [[0.5138, 0.1250, 0.2500], [0.2362, 0.6250, 0.2500], [0.3750, 0.4862, 0.7500], [0.8750, 0.7638, 0.7500], [0.5000, 0.5000, 0.0000], [0.2500, 0.7500, 0.5000], [0.0000, 0.0000, 0.0000], [0.7500, 0.2500, 0.5000]]}